Record 1
4
Lattice="-1.325 3.383 -3.627 -0.415 -1.549 -4.877 -1.639 -0.674 4.818" Properties=species:S:1:pos:R:3 comment="ZnRe2Si (GGA-PBE, optimized geometry)" spacegroup="Imm2, No. 44" n_ef_per_ev_cell=2.42 formation_energy_uncorrected_kj_per_mol_fu=56 e_tot_ev_per_atom=-7.75 vol_a3_per_cell=56 pbc="T T T"
Re -1.723 1.816 -8.416
Re -1.896 1.791 -1.424
Si -0.894 0.943 -4.370
Zn -1.478 -0.636 -2.231

---

Record 2
5
Lattice="-1.165 3.986 2.431 0.274 -2.442 4.137 4.660 1.140 0.364" Properties=species:S:1:pos:R:3 comment="Zn3ReSi (GGA-PBE, optimized geometry)" spacegroup="Pm-3m, No. 221" n_ef_per_ev_cell=2.90 relative_energy_mev_per_atom=0 formation_energy_uncorrected_kj_per_mol_fu=579 e_tot_ev_per_atom=-3.14 vol_a3_per_cell=111 pbc="T T T"
Re 0.000 0.000 0.000
Zn 0.137 -1.221 2.068
Zn 2.330 0.570 0.182
Zn -0.583 1.993 1.215
Si 1.885 1.342 3.466

---

Record 3
5
Lattice="4.712 0.000 0.000 0.000 4.712 0.000 0.000 0.000 4.712" Properties=species:S:1:pos:R:3 comment="ZnReSi3 (GGA-PBE, optimized geometry)" spacegroup="Pm-3m, No. 221" n_ef_per_ev_cell=3.29 relative_energy_mev_per_atom=0 formation_energy_uncorrected_kj_per_mol_fu=237 e_tot_ev_per_atom=-5.51 vol_a3_per_cell=105 pbc="T T T"
Re 0.000 0.000 0.000
Zn 2.356 2.356 2.356
Si 0.000 2.356 0.000
Si 0.000 0.000 2.356
Si 2.356 0.000 0.000

---

Record 4
4
Lattice="4.322 0.000 0.000 2.161 3.743 0.000 2.161 1.248 3.529" Properties=species:S:1:pos:R:3 comment="ZnRe2Si (GGA-PBE, optimized geometry)" spacegroup="F-43m, No. 216" n_ef_per_ev_cell=3.02 formation_energy_uncorrected_kj_per_mol_fu=115 e_tot_ev_per_atom=-7.60 vol_a3_per_cell=57 pbc="T T T"
Re 0.000 0.000 0.000
Re 6.482 3.743 2.646
Si 4.322 2.495 1.764
Zn 2.161 1.248 0.882

---

Q: Which formula does entry 2 have?
A: Zn3ReSi